Compound: USb2Pd7Au2
Source: Alexandria via LeMat-Bulk
Functional: PBE
Structure: relaxed

The structure in POSCAR format:
```
USb2Pd7Au2
1.0
4.1083 0.0299 0.3167
0.0349 4.1083 0.3167
3.1645 3.1607 13.4880
U Sb Pd Au
1 2 7 2
direct
0.0000 0.0000 0.0000
0.6671 0.6671 0.3331
0.3329 0.3329 0.6669
0.5000 0.5000 0.0000
0.2417 0.2417 0.5000
0.7583 0.7583 0.5000
0.8467 0.3467 0.1534
0.3467 0.8467 0.1534
0.6533 0.1533 0.8466
0.1533 0.6533 0.8466
0.8107 0.8107 0.6892
0.1893 0.1893 0.3108
```

- magnetic moment (Bohr magnetons per cell) = 1.4
- calculated volume (Å³/cell) = 219
- VASP energy (eV/atom) = -5.5204
- space-group type = No. 65
- uncorrected formation energy (eV per atom) = -0.32

***

Compound: USbPdAu
Source: Alexandria via LeMat-Bulk
Functional: PBE
Structure: relaxed

The structure in POSCAR format:
```
USbPdAu
1.0
4.9476 0.0000 0.0000
2.4738 4.2847 0.0000
2.4738 1.4282 4.0397
Au U Pd Sb
1 1 1 1
direct
0.0000 0.0000 0.0000
0.7500 0.7500 0.7500
0.2500 0.2500 0.2500
0.5000 0.5000 0.5000
```

- magnetic moment (Bohr magnetons per cell) = 2.3
- calculated volume (Å³/cell) = 86
- VASP energy (eV/atom) = -6.1828
- space-group type = No. 216
- uncorrected formation energy (eV per atom) = -0.21

***

Compound: VSbPdAu
Source: Alexandria via LeMat-Bulk
Functional: PBE
Structure: relaxed

The structure in POSCAR format:
```
VSbPdAu
1.0
-1.8077 -1.6513 3.9382
0.0432 -4.5608 0.8377
2.7824 -1.7282 3.2827
Sb Au Pd V
1 1 1 1
direct
0.5000 0.5000 0.5000
0.0000 0.0000 0.0000
0.2500 0.2500 0.2500
0.7500 0.7500 0.7500
```

- magnetic moment (Bohr magnetons per cell) = 2.3
- calculated volume (Å³/cell) = 71
- VASP energy (eV/atom) = -5.5100
- space-group type = No. 216
- uncorrected formation energy (eV per atom) = -0.08

***

Compound: YSb2Pd7Au2
Source: Alexandria via LeMat-Bulk
Functional: PBE
Structure: relaxed

The structure in POSCAR format:
```
YSb2Pd7Au2
1.0
-3.1243 -2.3918 -1.2453
1.9693 -0.8596 -3.5235
4.3880 -13.4030 0.7968
Y Sb Pd Au
1 2 7 2
direct
0.0000 0.0000 0.0000
0.6721 0.6721 0.3271
0.3279 0.3279 0.6729
0.5000 0.5000 0.0000
0.2483 0.2483 0.5004
0.7517 0.7517 0.4996
0.8380 0.3382 0.1623
0.3382 0.8380 0.1623
0.6618 0.1620 0.8377
0.1620 0.6618 0.8377
0.8138 0.8138 0.6861
0.1862 0.1862 0.3139
```

- magnetic moment (Bohr magnetons per cell) = 0.0
- calculated volume (Å³/cell) = 219
- VASP energy (eV/atom) = -5.2068
- space-group type = No. 65
- uncorrected formation energy (eV per atom) = -0.41

***

Compound: Y2Sb2Pd7Au
Source: Alexandria via LeMat-Bulk
Functional: PBE
Structure: relaxed

The structure in POSCAR format:
```
Y2Sb2Pd7Au
1.0
3.8546 0.0148 0.1009
0.0195 3.8546 0.1009
2.1827 2.1800 16.3626
Y Sb Pd Au
2 2 7 1
direct
0.6738 0.6738 0.7408
0.3262 0.3262 0.2592
0.7672 0.7672 0.3877
0.2328 0.2328 0.6123
0.5000 0.5000 0.0000
0.2529 0.2529 0.4488
0.7471 0.7471 0.5512
0.9110 0.4110 0.1321
0.4110 0.9110 0.1321
0.5890 0.0890 0.8679
0.0890 0.5890 0.8679
0.0000 0.0000 0.0000
```

- magnetic moment (Bohr magnetons per cell) = 0.0
- calculated volume (Å³/cell) = 241
- VASP energy (eV/atom) = -5.4879
- space-group type = No. 12
- uncorrected formation energy (eV per atom) = -0.42

***

Compound: Zn2SbPd5Au2
Source: Alexandria via LeMat-Bulk
Functional: PBE
Structure: relaxed

The structure in POSCAR format:
```
Zn2SbPd5Au2
1.0
-2.5231 -1.9748 -2.1538
-3.0740 -4.3750 7.6122
-6.3345 6.6898 1.2868
Zn Sb Pd Au
4 2 10 4
direct
0.0000 0.1268 0.6268
0.0000 0.8732 0.3732
0.0000 0.6268 0.8732
0.0000 0.3732 0.1268
0.0000 0.0000 0.0000
0.0000 0.5000 0.5000
0.5000 0.1904 0.0931
0.5000 0.8096 0.9069
0.5000 0.0931 0.8096
0.5000 0.6904 0.4069
0.5000 0.9069 0.1904
0.5000 0.3096 0.5931
0.5000 0.5931 0.6904
0.5000 0.4069 0.3096
0.5000 0.5000 0.0000
0.5000 0.0000 0.5000
0.0000 0.6657 0.1657
0.0000 0.3343 0.8343
0.0000 0.1657 0.3343
0.0000 0.8343 0.6657
```

- magnetic moment (Bohr magnetons per cell) = 0.0
- calculated volume (Å³/cell) = 334
- VASP energy (eV/atom) = -4.2140
- space-group type = No. 127
- uncorrected formation energy (eV per atom) = -0.30

***

Compound: ZrSbPdAu
Source: Alexandria via LeMat-Bulk
Functional: PBE
Structure: relaxed

The structure in POSCAR format:
```
ZrSbPdAu
1.0
4.7977 0.0000 0.0000
2.3989 4.1549 0.0000
2.3989 1.3850 3.9173
Sb Au Zr Pd
1 1 1 1
direct
0.0000 0.0000 0.0000
0.5000 0.5000 0.5000
0.7500 0.7500 0.7500
0.2500 0.2500 0.2500
```

- magnetic moment (Bohr magnetons per cell) = 0.0
- calculated volume (Å³/cell) = 78
- VASP energy (eV/atom) = -5.7340
- space-group type = No. 216
- uncorrected formation energy (eV per atom) = -0.45

***

Compound: Sc7Pd2Au2
Source: Alexandria via LeMat-Bulk
Functional: PBE
Structure: relaxed

The structure in POSCAR format:
```
Sc7Pd2Au2
1.0
-0.5425 -4.5901 -3.9309
-0.9059 -4.5316 5.4161
-5.5330 2.2863 0.9871
Sc Pd Au
7 2 2
direct
0.0001 0.2875 0.4996
0.4996 0.7125 0.0001
0.9999 0.7125 0.5004
0.5004 0.2875 0.9999
0.0000 0.0000 0.0000
0.5000 0.7214 0.5000
0.5000 0.2786 0.5000
0.8113 0.5000 0.8113
0.1887 0.5000 0.1887
0.7068 0.0000 0.2932
0.2932 0.0000 0.7068
```

- magnetic moment (Bohr magnetons per cell) = 0.0
- calculated volume (Å³/cell) = 249
- formation enthalpy at 0 K (eV per atom) = -0.362
- VASP energy (eV/atom) = -5.9314
- space-group type = No. 65

***

Compound: Sc2Pd2Au
Source: Alexandria via LeMat-Bulk
Functional: PBE
Structure: relaxed

The structure in POSCAR format:
```
Sc2Pd2Au
1.0
-0.8266 3.6167 -0.4588
-2.3880 -0.8927 -2.7340
-6.8225 0.7724 3.1513
Sc Au Pd
2 1 2
direct
0.3903 0.3903 0.2194
0.6097 0.6097 0.7806
0.0000 0.0000 0.0000
0.7500 0.2500 0.5000
0.2500 0.7500 0.5000
```

- magnetic moment (Bohr magnetons per cell) = 0.0
- distance to the lowest polymorph of the same formula (kJ/mol of formula units) = 101
- calculated volume (Å³/cell) = 99
- formation enthalpy at 0 K (eV per atom) = -0.617
- VASP energy (eV/atom) = -5.8826
- space-group type = No. 139

***

Compound: Sc4Pd5Au
Source: Alexandria via LeMat-Bulk
Functional: PBE
Structure: relaxed

The structure in POSCAR format:
```
Sc4Pd5Au
1.0
4.3052 0.0000 -1.4760
-0.5922 5.3185 -1.7272
0.2463 -0.2087 7.7350
Sc Pd Au
4 5 1
direct
0.6986 0.2903 0.3972
0.0899 0.8238 0.1799
0.3014 0.7097 0.6028
0.9101 0.1762 0.8201
0.2890 0.1926 0.5780
0.1111 0.3550 0.2221
0.8889 0.6450 0.7779
0.5000 0.5000 0.0000
0.7110 0.8074 0.4220
0.5000 0.0000 0.0000
```

- magnetic moment (Bohr magnetons per cell) = 0.0
- calculated volume (Å³/cell) = 177
- formation enthalpy at 0 K (eV per atom) = -0.849
- VASP energy (eV/atom) = -6.3058
- space-group type = No. 12

***

Compound: ScPd3Au
Source: Alexandria via LeMat-Bulk
Functional: PBE
Structure: relaxed

The structure in POSCAR format:
```
ScPd3Au
1.0
2.9625 0.0000 0.0000
0.0000 8.5679 -3.4219
0.0000 -3.6825 8.2513
Sc Pd Au
2 6 2
direct
0.2500 0.7694 0.8361
0.7500 0.2306 0.1639
0.7500 0.4210 0.5665
0.2500 0.0433 0.2604
0.7500 0.1814 0.6288
0.7500 0.9567 0.7396
0.2500 0.8186 0.3712
0.2500 0.5790 0.4335
0.2500 0.3557 0.9948
0.7500 0.6443 0.0052
```

- magnetic moment (Bohr magnetons per cell) = 0.0
- distance to the lowest polymorph of the same formula (kJ/mol of formula units) = 32
- calculated volume (Å³/cell) = 172
- formation enthalpy at 0 K (eV per atom) = -0.385
- VASP energy (eV/atom) = -5.4220
- space-group type = No. 11

***

Compound: Sc2Pd3Au6
Source: Alexandria via LeMat-Bulk
Functional: PBE
Structure: relaxed

The structure in POSCAR format:
```
Sc2Pd3Au6
1.0
-2.4342 2.7846 0.9610
-2.5242 -2.6144 1.1818
8.2974 0.3669 12.3558
Sc Pd Au
2 3 6
direct
0.3284 0.3284 0.6568
0.6716 0.6716 0.3432
0.0000 0.0000 0.0000
0.8605 0.8605 0.7211
0.1395 0.1395 0.2789
0.0697 0.5697 0.1394
0.5697 0.0697 0.1394
0.9303 0.4303 0.8606
0.4303 0.9303 0.8606
0.7695 0.7695 0.5391
0.2305 0.2305 0.4609
```

- magnetic moment (Bohr magnetons per cell) = 0.0
- calculated volume (Å³/cell) = 214
- formation enthalpy at 0 K (eV per atom) = -0.320
- VASP energy (eV/atom) = -4.6747
- space-group type = No. 139

***

Compound: ScPd2Au6
Source: Alexandria via LeMat-Bulk
Functional: PBE
Structure: relaxed

The structure in POSCAR format:
```
ScPd2Au6
1.0
3.8773 0.0000 -1.1595
-0.6331 6.2076 -2.1170
-0.1534 0.1114 6.5498
Sc Pd Au
1 2 6
direct
0.5000 0.5000 0.0000
0.9479 0.1756 0.8958
0.0521 0.8244 0.1042
0.3916 0.8331 0.7833
0.6084 0.1669 0.2167
0.7219 0.8353 0.4439
0.1641 0.5059 0.3282
0.2781 0.1647 0.5561
0.8359 0.4941 0.6718
```

- magnetic moment (Bohr magnetons per cell) = 0.0
- calculated volume (Å³/cell) = 158
- formation enthalpy at 0 K (eV per atom) = -0.370
- VASP energy (eV/atom) = -4.4122
- space-group type = No. 12

***

Compound: ScPd4Au5
Source: Alexandria via LeMat-Bulk
Functional: PBE
Structure: relaxed

The structure in POSCAR format:
```
ScPd4Au5
1.0
-2.5507 3.0221 -2.9632
1.6725 -1.4516 -5.3282
-4.1942 -4.6686 1.6057
Sc Pd Au
1 4 5
direct
0.5000 0.0000 0.0000
0.6962 0.2948 0.3932
0.1036 0.8990 0.2000
0.3038 0.7052 0.6068
0.8964 0.1010 0.8000
0.2967 0.1989 0.5969
0.1007 0.3951 0.1993
0.8993 0.6049 0.8007
0.5000 0.5000 0.0000
0.7033 0.8011 0.4031
```

- magnetic moment (Bohr magnetons per cell) = 0.0
- calculated volume (Å³/cell) = 170
- formation enthalpy at 0 K (eV per atom) = -0.380
- VASP energy (eV/atom) = -4.7287
- space-group type = No. 2

***

Compound: Sc4Pd7Au
Source: Alexandria via LeMat-Bulk
Functional: PBE
Structure: relaxed

The structure in POSCAR format:
```
Sc4Pd7Au
1.0
0.5283 4.3362 3.0094
1.1083 -2.8070 9.0667
4.8247 4.8537 1.4803
Sc Pd Au
4 7 1
direct
0.5174 0.2205 0.6101
0.4827 0.7794 0.3899
0.5842 0.7200 0.8594
0.4160 0.2800 0.1406
0.8612 0.9001 0.4500
0.1387 0.0999 0.5500
0.0735 0.5799 0.2892
0.9266 0.4202 0.7108
0.2510 0.5777 0.7885
0.4995 0.0002 0.0001
0.7491 0.4224 0.2115
0.9999 0.9998 0.9999
```

- magnetic moment (Bohr magnetons per cell) = 0.0
- distance to the lowest polymorph of the same formula (kJ/mol of formula units) = 0
- calculated volume (Å³/cell) = 214
- formation enthalpy at 0 K (eV per atom) = -0.749
- VASP energy (eV/atom) = -6.1616
- space-group type = No. 2

***

Compound: ScPd4Au3
Source: Alexandria via LeMat-Bulk
Functional: PBE
Structure: relaxed

The structure in POSCAR format:
```
ScPd4Au3
1.0
4.0255 -0.0014 -1.0866
-0.2896 4.0202 -1.0676
0.0654 0.0317 8.2417
Sc Au Pd
1 3 4
direct
0.5000 0.0000 0.0000
0.0000 0.5000 0.0000
0.7515 0.2515 0.5034
0.2485 0.7485 0.4966
0.3771 0.3772 0.7546
0.6229 0.6228 0.2454
0.1227 0.1229 0.2454
0.8773 0.8771 0.7546
```

- magnetic moment (Bohr magnetons per cell) = 0.0
- calculated volume (Å³/cell) = 134
- formation enthalpy at 0 K (eV per atom) = -0.478
- VASP energy (eV/atom) = -5.0944
- space-group type = No. 139

***

Compound: Sc2Pd4Au
Source: Alexandria via LeMat-Bulk
Functional: PBE
Structure: relaxed

The structure in POSCAR format:
```
Sc2Pd4Au
1.0
-1.6922 4.4677 -4.0077
-4.7982 -2.0596 -0.2699
-1.4757 2.4405 7.6122
Sc Pd Au
4 8 2
direct
0.7276 0.7500 0.0065
0.2724 0.2500 0.9935
0.3186 0.2500 0.4167
0.6814 0.7500 0.5833
0.6161 0.4982 0.2712
0.0642 0.7500 0.8302
0.9358 0.2500 0.1698
0.6161 0.0018 0.2712
0.9517 0.2500 0.5378
0.3839 0.9982 0.7288
0.3839 0.5018 0.7288
0.0483 0.7500 0.4622
0.2059 0.7500 0.1889
0.7941 0.2500 0.8111
```

- magnetic moment (Bohr magnetons per cell) = 0.0
- distance to the lowest polymorph of the same formula (kJ/mol of formula units) = 0
- calculated volume (Å³/cell) = 249
- formation enthalpy at 0 K (eV per atom) = -0.650
- VASP energy (eV/atom) = -5.8941
- space-group type = No. 11

***

Compound: Sc2Pd4Au
Source: Alexandria via LeMat-Bulk
Functional: PBE
Structure: relaxed

The structure in POSCAR format:
```
Sc2Pd4Au
1.0
-3.5584 0.4348 -3.3949
-0.7237 -4.8821 0.1334
-6.6050 -1.4313 3.1497
Sc Au Pd
2 1 4
direct
0.3817 0.3817 0.2367
0.6183 0.6183 0.7633
0.0000 0.0000 0.0000
0.2037 0.2037 0.5925
0.7963 0.7963 0.4075
0.0000 0.5000 0.0000
0.5000 0.0000 0.0000
```

- magnetic moment (Bohr magnetons per cell) = 0.0
- distance to the lowest polymorph of the same formula (kJ/mol of formula units) = 509
- calculated volume (Å³/cell) = 161
- formation enthalpy at 0 K (eV per atom) = 0.104
- VASP energy (eV/atom) = -5.1410
- space-group type = No. 139

***

Compound: ScPd7Au4
Source: Alexandria via LeMat-Bulk
Functional: PBE
Structure: relaxed

The structure in POSCAR format:
```
ScPd7Au4
1.0
-1.7100 5.4772 0.2913
-6.0740 4.0422 2.0706
-0.1369 1.2128 7.4807
Sc Pd Au
1 7 4
direct
0.0000 0.0000 0.0000
0.7466 0.5018 0.9994
0.2534 0.4982 0.0006
0.9986 0.3277 0.6742
0.0014 0.6723 0.3258
0.2499 0.8305 0.6724
0.5000 0.0000 0.0000
0.7501 0.1695 0.3276
0.5029 0.6665 0.3330
0.4971 0.3335 0.6670
0.7475 0.8315 0.6690
0.2525 0.1685 0.3310
```

- magnetic moment (Bohr magnetons per cell) = 0.0
- distance to the lowest polymorph of the same formula (kJ/mol of formula units) = 0
- calculated volume (Å³/cell) = 198
- formation enthalpy at 0 K (eV per atom) = -0.342
- VASP energy (eV/atom) = -4.9908
- space-group type = No. 2

***

Compound: Sc6Pd2Au
Source: Alexandria via LeMat-Bulk
Functional: PBE
Structure: relaxed

The structure in POSCAR format:
```
Sc6Pd2Au
1.0
-6.8782 -3.1959 -2.2022
4.7681 -5.4120 3.2170
-1.0875 5.5401 5.5225
Sc Pd Au
12 4 2
direct
0.5351 0.7182 0.8169
0.4649 0.2818 0.1831
0.0986 0.2818 0.8169
0.9014 0.7182 0.1831
0.8057 0.7563 0.5620
0.1943 0.2437 0.4380
0.1943 0.7563 0.9506
0.8057 0.2437 0.0494
0.7140 0.3832 0.6691
0.2860 0.6168 0.3309
0.2860 0.9551 0.6691
0.7140 0.0449 0.3309
0.5000 0.3594 0.8594
0.5000 0.6406 0.1406
0.6561 0.0000 0.6561
0.3439 0.0000 0.3439
0.0000 0.5000 0.5000
0.0000 0.0000 0.0000
```

- magnetic moment (Bohr magnetons per cell) = 0.0
- calculated volume (Å³/cell) = 378
- formation enthalpy at 0 K (eV per atom) = -0.585
- VASP energy (eV/atom) = -6.3243
- space-group type = No. 71

***

Compound: ScPd4Au
Source: Alexandria via LeMat-Bulk
Functional: PBE
Structure: relaxed

The structure in POSCAR format:
```
ScPd4Au
1.0
-3.7461 -0.9028 -1.3680
1.6413 -2.1170 -3.0974
1.8382 -4.3812 3.9685
Sc Pd Au
1 4 1
direct
0.5000 0.5000 0.0000
0.3321 0.0000 0.6643
0.6679 0.0000 0.3357
0.8354 0.5000 0.6707
0.1646 0.5000 0.3293
0.0000 0.0000 0.0000
```

- magnetic moment (Bohr magnetons per cell) = 0.0
- distance to the lowest polymorph of the same formula (kJ/mol of formula units) = 0
- calculated volume (Å³/cell) = 98
- formation enthalpy at 0 K (eV per atom) = -0.587
- VASP energy (eV/atom) = -5.6499
- space-group type = No. 65

***

Compound: Sc4PdAu2
Source: Alexandria via LeMat-Bulk
Functional: PBE
Structure: relaxed

The structure in POSCAR format:
```
Sc4PdAu2
1.0
4.5011 0.0000 1.4062
2.0309 4.0169 1.4062
-0.0705 -0.0433 8.1322
Sc Pd Au
4 1 2
direct
0.8739 0.8739 0.3782
0.1261 0.1261 0.6218
0.6236 0.6236 0.1293
0.3764 0.3764 0.8707
0.0000 0.0000 0.0000
0.7513 0.7513 0.7460
0.2487 0.2487 0.2540
```

- magnetic moment (Bohr magnetons per cell) = 0.0
- calculated volume (Å³/cell) = 148
- formation enthalpy at 0 K (eV per atom) = -0.665
- VASP energy (eV/atom) = -5.9610
- space-group type = No. 166